[1]
Entry from Alexandria via LeMat-Bulk: crystalline LaZn6Pd4 at its relaxed geometry (PBE).

Lattice parameters (Å, degrees): 4.153 7.289 7.289 120.00 90.00 90.00
Fractional positions:
1 Zn 0.500 0.591 0.795
2 Zn 0.000 0.537 0.074
3 Zn 0.500 0.205 0.795
4 Zn 0.500 0.205 0.409
5 Zn 0.000 0.537 0.463
6 Zn 0.000 0.926 0.463
7 La 0.000 0.000 0.000
8 Pd 0.500 0.799 0.598
9 Pd 0.500 0.402 0.201
10 Pd 0.500 0.799 0.201
11 Pd 0.000 0.333 0.667

Computed properties:
Energy of formation in eV per formula unit: -5.33

[2]
Entry from Alexandria via LeMat-Bulk: crystalline La5Zn2Pd5 at its relaxed geometry (PBE).

Lattice parameters (Å, degrees): 4.123 8.111 9.325 91.83 77.23 75.28
Fractional positions:
1 Pd 0.063 0.707 0.167
2 Pd 0.937 0.293 0.833
3 Pd 0.295 0.767 0.642
4 Pd 0.705 0.233 0.358
5 Pd 0.000 0.000 0.000
6 Zn 0.613 0.534 0.239
7 Zn 0.387 0.466 0.761
8 La 0.000 0.500 0.500
9 La 0.369 0.938 0.325
10 La 0.631 0.062 0.675
11 La 0.678 0.724 0.921
12 La 0.322 0.276 0.079

Computed properties:
Energy of formation in eV per formula unit: -8.48

[3]
Entry from Alexandria via LeMat-Bulk: crystalline La3Zn4Pd4 at its relaxed geometry (PBE).

Lattice parameters (Å, degrees): 8.444 8.444 8.444 151.10 127.24 61.27
Fractional positions:
1 La 0.500 0.000 0.500
2 La 0.870 0.870 0.000
3 La 0.130 0.130 0.000
4 Pd 0.197 0.500 0.697
5 Pd 0.717 0.217 0.500
6 Pd 0.803 0.500 0.303
7 Pd 0.283 0.783 0.500
8 Zn 0.481 0.673 0.808
9 Zn 0.865 0.673 0.192
10 Zn 0.135 0.327 0.808
11 Zn 0.519 0.327 0.192

Computed properties:
Energy of formation in eV per formula unit: -7.69
Relative energy among the computed polymorphs in meV/atom: 0